# 1
# TcAsI2

A relaxed structure of TcAsI2 (PBE, Alexandria via LeMat-Bulk).

## Properties
DFT total energy = -3.46 eV/atom
Spin magnetization = 1.4 μB per cell
Offset from the most stable computed form = 3.41 eV/f.u.

a b c (Å): 7.0772 7.0772 7.0772
angles (deg): 90.00 90.00 90.00
Space group Fm-3m (No. 225)
Inequivalent atoms, fractional coordinates:
Tc 0.0000 0.0000 0.0000
As 0.0000 0.0000 0.5000
I 0.2500 0.2500 0.2500

# 2
# TbSmSn2

A relaxed structure of TbSmSn2 (PBE, Alexandria via LeMat-Bulk).

## Properties
DFT total energy = -5.10 eV/atom
Spin magnetization = 0.0 μB per cell
Energy of formation from the pure elements = -73.2 kJ per mole of atoms

a b c (Å): 4.3405 4.5579 11.5468
angles (deg): 90.00 90.00 90.00
Space group Amm2 (No. 38)
Inequivalent atoms, fractional coordinates:
Tb 0.0000 0.0000 0.0000
Sm 0.5000 0.0000 0.2695
Sn 0.0000 0.0000 0.7265
Sn 0.5000 0.0000 0.5425

# 3
# CaAcSm14

A relaxed structure of CaAcSm14 (PBE, Alexandria via LeMat-Bulk).

## Properties
DFT total energy = -4.47 eV/atom
Spin magnetization = 0.0 μB per cell
Energy of formation from the pure elements = 4.3 kJ per mole of atoms

a b c (Å): 11.7790 7.4130 12.8823
angles (deg): 90.00 90.00 90.00
Space group Amm2 (No. 38)
Inequivalent atoms, fractional coordinates:
Ca 0.0000 0.0000 0.0000
Ac 0.0000 0.0000 0.4979
Sm 0.0000 0.2470 0.2497
Sm 0.2523 0.0000 0.3319
Sm 0.2524 0.0000 0.8307
Sm 0.2558 0.2481 0.5851
Sm 0.5000 0.0000 0.5004
Sm 0.5000 0.0000 0.9995
Sm 0.5000 0.2501 0.2496

# 4
# Cr2MoIrN

A relaxed structure of Cr2MoIrN (PBE, Alexandria via LeMat-Bulk).

## Properties
DFT total energy = -9.71 eV/atom
Spin magnetization = 1.7 μB per cell

a b c (Å): 3.8663 3.8663 4.0568
angles (deg): 90.00 90.00 90.00
Space group P4/mmm (No. 123)
Inequivalent atoms, fractional coordinates:
Cr 0.0000 0.5000 0.0000
Mo 0.0000 0.0000 0.5000
Ir 0.5000 0.5000 0.5000
N 0.0000 0.0000 0.0000

# 5
# Er3MgIn12

A relaxed structure of Er3MgIn12 (PBE, Alexandria via LeMat-Bulk).

## Properties
DFT total energy = -3.29 eV/atom
Spin magnetization = 0.0 μB per cell
Energy of formation from the pure elements = -27.3 kJ per mole of atoms

a b c (Å): 4.6297 4.6297 18.4916
angles (deg): 90.00 90.00 90.00
Space group P4/mmm (No. 123)
Inequivalent atoms, fractional coordinates:
Er 0.0000 0.0000 0.0000
Er 0.0000 0.0000 0.2489
Mg 0.0000 0.0000 0.5000
In 0.0000 0.5000 0.1254
In 0.0000 0.5000 0.3778
In 0.5000 0.5000 0.0000
In 0.5000 0.5000 0.2495
In 0.5000 0.5000 0.5000

# 6
# Na2Hg2Mo

A relaxed structure of Na2Hg2Mo (PBE, Alexandria via LeMat-Bulk).

## Properties
DFT total energy = -2.13 eV/atom
Spin magnetization = 7.0 μB per cell
Energy of formation from the pure elements = 65.8 kJ per mole of atoms
Offset from the most stable computed form = 0.41 eV/f.u.

a b c (Å): 3.9681 3.9681 14.9474
angles (deg): 90.00 90.00 90.00
Space group I4/mmm (No. 139)
Inequivalent atoms, fractional coordinates:
Na 0.0000 0.5000 0.2500
Hg 0.0000 0.0000 0.0956
Mo 0.0000 0.0000 0.5000

# 7
# K2AgAsSe4

A relaxed structure of K2AgAsSe4 (PBE, Alexandria via LeMat-Bulk).

## Properties
DFT total energy = -3.46 eV/atom
Spin magnetization = 0.0 μB per cell

a b c (Å): 6.5979 13.2114 25.0660
angles (deg): 90.00 90.00 90.00
Space group Fddd (No. 70, origin choice 2)
Inequivalent atoms, fractional coordinates:
K 0.1250 0.1250 0.3134
Ag 0.1250 0.1250 0.1250
As 0.1250 0.1250 0.6250
Se 0.0816 0.2689 0.8223

# 8
# Tc2Pb3

A relaxed structure of Tc2Pb3 (PBE, Alexandria via LeMat-Bulk).

## Properties
DFT total energy = -5.77 eV/atom
Spin magnetization = 0.0 μB per cell
Energy of formation from the pure elements = 58.3 kJ per mole of atoms
Offset from the most stable computed form = 0.00 eV/f.u.

a b c (Å): 4.7936 4.7936 5.6761
angles (deg): 90.00 90.00 120.00
Space group P-3m1 (No. 164)
Inequivalent atoms, fractional coordinates:
Tc 0.3333 0.6667 0.3756
Pb 0.0000 0.0000 0.5000
Pb 0.3333 0.6667 0.8673

# 9
# CrSb2TeI

A relaxed structure of CrSb2TeI (PBE, Alexandria via LeMat-Bulk).

## Properties
DFT total energy = -4.20 eV/atom
Spin magnetization = 0.2 μB per cell
Offset from the most stable computed form = 0.00 eV/f.u.

a b c (Å): 5.2076 5.2076 5.0000
angles (deg): 90.00 90.00 90.00
Space group P4/mmm (No. 123)
Inequivalent atoms, fractional coordinates:
Cr 0.0000 0.0000 0.0000
Sb 0.0000 0.5000 0.0000
Te 0.0000 0.0000 0.5000
I 0.5000 0.5000 0.5000

# 10
# TiBeNi2Ir

A relaxed structure of TiBeNi2Ir (PBE, Alexandria via LeMat-Bulk).

## Properties
DFT total energy = -5.62 eV/atom
Spin magnetization = 0.0 μB per cell
Energy of formation from the pure elements = 75.9 kJ per mole of atoms

a b c (Å): 4.5204 4.5204 4.0330
angles (deg): 90.00 90.00 90.00
Space group P4/mmm (No. 123)
Inequivalent atoms, fractional coordinates:
Ti 0.0000 0.0000 0.0000
Be 0.5000 0.5000 0.0000
Ni 0.0000 0.5000 0.5000
Ir 0.5000 0.5000 0.5000

# 11
# Mn2SiMo

A relaxed structure of Mn2SiMo (PBE, Alexandria via LeMat-Bulk).

## Properties
DFT total energy = -8.53 eV/atom
Spin magnetization = 3.3 μB per cell

a b c (Å): 2.6823 2.6823 24.4738
angles (deg): 90.00 90.00 120.00
Space group R3m (No. 160, hexagonal axes)
Inequivalent atoms, fractional coordinates:
Mn 0.0000 0.0000 0.0000
Mn 0.0000 0.0000 0.2584
Si 0.0000 0.0000 0.7444
Mo 0.0000 0.0000 0.5022

# 12
# CsCuAg2I4

A relaxed structure of CsCuAg2I4 (PBE, Alexandria via LeMat-Bulk).

## Properties
DFT total energy = -2.63 eV/atom
Spin magnetization = 0.0 μB per cell

a b c (Å): 10.3703 7.7848 7.9814
angles (deg): 90.00 90.00 90.00
Space group Pmn2_1 (No. 31)
Inequivalent atoms, fractional coordinates:
Cs 0.0000 0.1843 0.0000
Cu 0.0000 0.8117 0.5158
Ag 0.2496 0.3351 0.5303
I 0.0000 0.1489 0.5308
I 0.0000 0.7330 0.1931
I 0.1925 0.6621 0.6772

# 13
# CaLa3Pt2

A relaxed structure of CaLa3Pt2 (PBE, Alexandria via LeMat-Bulk).

## Properties
DFT total energy = -5.63 eV/atom
Spin magnetization = 0.0 μB per cell
Energy of formation from the pure elements = -78.9 kJ per mole of atoms

a b c (Å): 4.9885 9.1592 7.5454
angles (deg): 90.00 90.00 90.00
Space group Pmc2_1 (No. 26)
Inequivalent atoms, fractional coordinates:
Ca 0.0000 0.0841 0.0000
La 0.0000 0.3359 0.6381
La 0.5000 0.1602 0.3456
La 0.5000 0.4107 0.9918
Pt 0.0000 0.3421 0.2432
Pt 0.5000 0.1646 0.7438

# 14
# AlIrCl2

A relaxed structure of AlIrCl2 (PBE, Alexandria via LeMat-Bulk).

## Properties
DFT total energy = -3.38 eV/atom
Spin magnetization = 0.0 μB per cell
Offset from the most stable computed form = 4.98 eV/f.u.

a b c (Å): 6.6742 6.8897 3.0451
angles (deg): 90.00 90.00 90.00
Space group Cmmm (No. 65)
Inequivalent atoms, fractional coordinates:
Al 0.0000 0.0000 0.0000
Ir 0.0000 0.5000 0.0000
Cl 0.2500 0.2500 0.5000

# 15
# In4FeRh5

A relaxed structure of In4FeRh5 (PBE, Alexandria via LeMat-Bulk).

## Properties
DFT total energy = -5.96 eV/atom
Spin magnetization = 4.2 μB per cell
Energy of formation from the pure elements = -32.9 kJ per mole of atoms

a b c (Å): 3.1436 3.1436 16.4834
angles (deg): 90.00 90.00 90.00
Space group P4/mmm (No. 123)
Inequivalent atoms, fractional coordinates:
In 0.0000 0.0000 0.1035
In 0.0000 0.0000 0.3100
Fe 0.0000 0.0000 0.5000
Rh 0.5000 0.5000 0.0000
Rh 0.5000 0.5000 0.2075
Rh 0.5000 0.5000 0.4138

# 16
# Ga5Hg12Sb3

A relaxed structure of Ga5Hg12Sb3 (PBE, Alexandria via LeMat-Bulk).

## Properties
DFT total energy = -1.42 eV/atom
Spin magnetization = 0.0 μB per cell

a b c (Å): 16.7412 16.7412 16.7412
angles (deg): 90.00 90.00 90.00
Space group Ia-3d (No. 230)
Inequivalent atoms, fractional coordinates:
Ga 0.0000 0.0000 0.0000
Ga 0.0000 0.2500 0.3750
Hg 0.0225 0.0728 0.6516
Sb 0.0000 0.2500 0.1250

# 17
# Na2CeAgS4

A relaxed structure of Na2CeAgS4 (PBE, Alexandria via LeMat-Bulk).

## Properties
DFT total energy = -4.57 eV/atom
Spin magnetization = 0.0 μB per cell

a b c (Å): 11.1043 10.8785 8.1630
angles (deg): 90.00 132.55 90.00
Space group C2/c (No. 15)
Inequivalent atoms, fractional coordinates:
Na 0.0000 0.0000 0.0000
Na 0.2500 0.2500 0.0000
Ce 0.2500 0.2500 0.5000
Ag 0.0000 0.5000 0.0000
S 0.0117 0.2630 0.0305
S 0.2476 0.4942 0.5303

# 18
# SnAsSe3

A relaxed structure of SnAsSe3 (PBE, Alexandria via LeMat-Bulk).

## Properties
DFT total energy = -3.65 eV/atom
Spin magnetization = 0.0 μB per cell

a b c (Å): 5.0780 5.0780 5.0780
angles (deg): 90.00 90.00 90.00
Space group Pm-3m (No. 221)
Inequivalent atoms, fractional coordinates:
Sn 0.0000 0.0000 0.0000
As 0.5000 0.5000 0.5000
Se 0.0000 0.5000 0.5000

# 19
# LaAs3S

A relaxed structure of LaAs3S (PBE, Alexandria via LeMat-Bulk).

## Properties
DFT total energy = -4.80 eV/atom
Spin magnetization = 0.0 μB per cell
Offset from the most stable computed form = 0.00 eV/f.u.

a b c (Å): 4.8867 4.8867 4.8867
angles (deg): 90.00 90.00 90.00
Space group Pm-3m (No. 221)
Inequivalent atoms, fractional coordinates:
La 0.0000 0.0000 0.0000
As 0.0000 0.5000 0.5000
S 0.5000 0.5000 0.5000

# 20
# CeNd3Sb4

A relaxed structure of CeNd3Sb4 (PBE, Alexandria via LeMat-Bulk).

## Properties
DFT total energy = -5.75 eV/atom
Spin magnetization = 0.8 μB per cell

a b c (Å): 6.3930 6.3930 6.3930
angles (deg): 90.00 90.00 90.00
Space group Pm-3m (No. 221)
Inequivalent atoms, fractional coordinates:
Ce 0.0000 0.0000 0.0000
Nd 0.0000 0.5000 0.5000
Sb 0.0000 0.0000 0.5000
Sb 0.5000 0.5000 0.5000